Record 1
Density functional theory data (PBE-GGA) for an optimized crystal structure of CaAgBi2F.

uncorrected formation energy	-0.614	eV per atom

Lattice parameters (Å, degrees): 5.109 4.890 5.109 90.00 90.00 90.00
Fractional coordinates of all 5 atoms:
Ca 0.500 0.500 0.500
F 0.000 0.000 0.000
Bi 0.500 0.000 0.000
Bi 0.000 0.000 0.500
Ag 0.000 0.500 0.000

Record 2
Density functional theory data (PBE-GGA) for an optimized crystal structure of CaGaAgBi.

Lattice parameters (Å, degrees): 5.211 5.211 5.211 60.00 60.00 60.00
Fractional coordinates of all 4 atoms:
Ca 0.750 0.750 0.750
Ga 0.500 0.500 0.500
Ag 0.250 0.250 0.250
Bi 0.000 0.000 0.000

Record 3
Density functional theory data (PBE-GGA) for an optimized crystal structure of CaGdAgBi.

Lattice parameters (Å, degrees): 5.392 5.392 5.392 60.00 60.00 60.00
Each line ends with the local moment (μB).
Fractional coordinates of all 4 atoms:
Ag 0.250 0.250 0.250  0.00
Ca 0.500 0.500 0.500  0.04
Bi 0.750 0.750 0.750  -0.07
Gd 0.000 0.000 0.000  7.06

Record 4
Density functional theory data (PBE-GGA) for an optimized crystal structure of Ca2AgBiH.

Lattice parameters (Å, degrees): 5.035 5.035 4.338 90.00 90.00 90.00
Fractional coordinates of all 5 atoms:
Ca 0.000 0.500 0.000
Ca 0.500 0.000 0.000
Bi 0.500 0.500 0.500
H 0.000 0.000 0.000
Ag 0.000 0.000 0.500

Record 5
Density functional theory data (PBE-GGA) for an optimized crystal structure of CaAgHgBi.

Lattice parameters (Å, degrees): 5.263 5.263 5.263 60.00 60.00 60.00
Fractional coordinates of all 4 atoms:
Ca 0.750 0.750 0.750
Ag 0.250 0.250 0.250
Hg 0.500 0.500 0.500
Bi 0.000 0.000 0.000

Record 6
Density functional theory data (PBE-GGA) for an optimized crystal structure of CaHoAgBi.

Lattice parameters (Å, degrees): 5.345 5.345 5.345 60.00 60.00 60.00
Fractional coordinates of all 4 atoms:
Ho 0.000 0.000 0.000
Bi 0.750 0.750 0.750
Ag 0.250 0.250 0.250
Ca 0.500 0.500 0.500

Record 7
Density functional theory data (PBE-GGA) for an optimized crystal structure of CaInAgBi.

Lattice parameters (Å, degrees): 5.334 5.334 5.334 60.00 60.00 60.00
Fractional coordinates of all 4 atoms:
Ag 0.250 0.250 0.250
In 0.000 0.000 0.000
Bi 0.500 0.500 0.500
Ca 0.750 0.750 0.750

Record 8
Density functional theory data (PBE-GGA) for an optimized crystal structure of KCaAgBi.

Lattice parameters (Å, degrees): 5.585 5.585 5.585 60.00 60.00 60.00
Fractional coordinates of all 4 atoms:
Ca 0.000 0.000 0.000
Bi 0.250 0.250 0.250
Ag 0.750 0.750 0.750
K 0.500 0.500 0.500

Record 9
Density functional theory data (PBE-GGA) for an optimized crystal structure of KCaAg2Bi.

Lattice parameters (Å, degrees): 5.721 5.951 5.721 90.00 90.00 90.00
Fractional coordinates of all 5 atoms:
K 0.500 0.500 0.500
Ag 0.500 0.000 0.000
Ag 0.000 0.000 0.500
Ca 0.000 0.500 0.000
Bi 0.000 0.000 0.000

Record 10
Density functional theory data (PBE-GGA) for an optimized crystal structure of Li2CaAg2Bi2.

Lattice parameters (Å, degrees): 4.800 4.800 8.735 74.05 74.05 60.00
Fractional coordinates of all 7 atoms:
Li 0.860 0.860 0.419
Li 0.140 0.140 0.581
Ag 0.559 0.559 0.322
Ag 0.441 0.441 0.678
Bi 0.742 0.742 0.774
Bi 0.258 0.258 0.226
Ca 0.000 0.000 0.000

Record 11
Density functional theory data (PBE-GGA) for an optimized crystal structure of LiCaAgBi.

Lattice parameters (Å, degrees): 5.165 5.165 5.165 60.00 60.00 60.00
Fractional coordinates of all 4 atoms:
Li 0.250 0.250 0.250
Ag 0.000 0.000 0.000
Bi 0.500 0.500 0.500
Ca 0.750 0.750 0.750

Record 12
Density functional theory data (PBE-GGA) for an optimized crystal structure of CaLuAgBi.

Lattice parameters (Å, degrees): 5.317 5.317 5.317 60.00 60.00 60.00
Fractional coordinates of all 4 atoms:
Lu 0.000 0.000 0.000
Ag 0.250 0.250 0.250
Bi 0.750 0.750 0.750
Ca 0.500 0.500 0.500

Record 13
Density functional theory data (PBE-GGA) for an optimized crystal structure of NaCaAgBi.

Lattice parameters (Å, degrees): 5.335 5.335 5.335 60.00 60.00 60.00
Fractional coordinates of all 4 atoms:
Bi 0.750 0.750 0.750
Ca 0.000 0.000 0.000
Na 0.500 0.500 0.500
Ag 0.250 0.250 0.250

Record 14
Density functional theory data (PBE-GGA) for an optimized crystal structure of Ca2AgBiO4.

uncorrected formation energy	-1.795	eV per atom

Lattice parameters (Å, degrees): 3.503 5.998 5.991 108.91 90.00 90.00
Fractional coordinates of all 8 atoms:
Ca 0.500 0.000 0.500
Ca 0.000 0.500 0.500
O 0.000 0.259 0.736
O 0.500 0.276 0.271
O 0.000 0.741 0.264
O 0.500 0.724 0.729
Bi 0.500 0.500 0.000
Ag 0.000 0.000 0.000

Record 15
Density functional theory data (PBE-GGA) for an optimized crystal structure of Ca2AgBiP.

Lattice parameters (Å, degrees): 5.497 5.497 4.755 90.00 90.00 90.00
Fractional coordinates of all 5 atoms:
Bi 0.500 0.500 0.500
Ca 0.000 0.500 0.000
Ca 0.500 0.000 0.000
Ag 0.000 0.000 0.500
P 0.000 0.000 0.000

Record 16
Density functional theory data (PBE-GGA) for an optimized crystal structure of CaPmAgBi.

Lattice parameters (Å, degrees): 5.423 5.423 5.423 60.00 60.00 60.00
Fractional coordinates of all 4 atoms:
Pm 0.000 0.000 0.000
Bi 0.750 0.750 0.750
Ca 0.500 0.500 0.500
Ag 0.250 0.250 0.250

Record 17
Density functional theory data (PBE-GGA) for an optimized crystal structure of CaPuAgBi.

Lattice parameters (Å, degrees): 5.412 5.412 5.412 60.00 60.00 60.00
Each line ends with the local moment (μB).
Fractional coordinates of all 4 atoms:
Ag 0.000 0.000 0.000  0.01
Bi 0.500 0.500 0.500  -0.07
Pu 0.250 0.250 0.250  5.58
Ca 0.750 0.750 0.750  0.04

Record 18
Density functional theory data (PBE-GGA) for an optimized crystal structure of CaAgBiRu2.

energy relative to the lowest polymorph listed for this composition	51.8	kJ per mole of atoms

Lattice parameters (Å, degrees): 4.778 5.617 4.778 90.00 90.00 90.00
Each line ends with the local moment (μB).
Fractional coordinates of all 5 atoms:
Ag 0.500 0.500 0.500  0.00
Ru 0.000 0.000 0.500  1.05
Ru 0.500 0.000 0.000  1.30
Bi 0.000 0.500 0.000  -0.03
Ca 0.000 0.000 0.000  -0.05

Record 19
Density functional theory data (PBE-GGA) for an optimized crystal structure of CaAgBiRu2.

energy relative to the lowest polymorph listed for this composition	0.0	kJ per mole of atoms

Lattice parameters (Å, degrees): 5.042 5.297 5.042 90.00 90.00 90.00
Each line ends with the local moment (μB).
Fractional coordinates of all 5 atoms:
Bi 0.000 0.500 0.000  0.01
Ru 0.000 0.000 0.500  2.20
Ru 0.500 0.000 0.000  1.65
Ca 0.500 0.500 0.500  -0.03
Ag 0.000 0.000 0.000  0.09

Record 20
Density functional theory data (PBE-GGA) for an optimized crystal structure of CaAgBiS3.

uncorrected formation energy	-0.796	eV per atom

Lattice parameters (Å, degrees): 3.998 8.274 8.805 101.58 90.00 90.00
Fractional coordinates of all 12 atoms:
Ca 0.750 0.816 0.765
Ca 0.250 0.184 0.235
S 0.750 0.902 0.118
S 0.750 0.418 0.153
S 0.250 0.754 0.515
S 0.250 0.582 0.847
S 0.250 0.098 0.882
S 0.750 0.246 0.485
Ag 0.750 0.902 0.413
Ag 0.250 0.098 0.587
Bi 0.250 0.670 0.166
Bi 0.750 0.330 0.834

Record 21
Density functional theory data (PBE-GGA) for an optimized crystal structure of Ca3AgBi3S8.

uncorrected formation energy	-0.920	eV per atom

Lattice parameters (Å, degrees): 8.076 8.077 8.066 120.04 90.00 120.00
Fractional coordinates of all 15 atoms:
S 0.248 0.495 0.745
S 0.749 0.997 0.745
S 0.752 0.003 0.255
S 0.248 0.997 0.745
S 0.249 0.498 0.247
S 0.251 0.003 0.255
S 0.752 0.505 0.255
S 0.751 0.502 0.753
Bi 0.500 0.000 0.500
Bi 0.500 0.500 0.500
Bi 0.000 0.500 0.500
Ca 0.500 0.500 0.000
Ca 0.000 0.500 0.000
Ca 0.000 0.000 0.000
Ag 0.000 0.000 0.500

Record 22
Density functional theory data (PBE-GGA) for an optimized crystal structure of CaAgBiSb2.

uncorrected formation energy	0.606	eV per atom

Lattice parameters (Å, degrees): 5.723 5.333 5.723 90.00 90.00 90.00
Fractional coordinates of all 5 atoms:
Sb 0.500 0.000 0.000
Sb 0.000 0.000 0.500
Ca 0.000 0.000 0.000
Ag 0.000 0.500 0.000
Bi 0.500 0.500 0.500

Record 23
Density functional theory data (PBE-GGA) for an optimized crystal structure of CaScAg2Bi.

Lattice parameters (Å, degrees): 5.402 5.895 5.402 90.00 90.00 90.00
Each line ends with the local moment (μB).
Fractional coordinates of all 5 atoms:
Ag 0.500 0.000 0.000  0.00
Ag 0.000 0.000 0.500  0.00
Ca 0.000 0.500 0.000  0.07
Sc 0.500 0.500 0.500  0.79
Bi 0.000 0.000 0.000  0.00

Record 24
Density functional theory data (PBE-GGA) for an optimized crystal structure of Ca2AgBiSe4.

uncorrected formation energy	-1.073	eV per atom

Lattice parameters (Å, degrees): 4.222 7.316 7.212 109.64 90.00 90.00
Fractional coordinates of all 8 atoms:
Ca 0.000 0.500 0.500
Ca 0.500 0.000 0.500
Se 0.000 0.251 0.755
Se 0.500 0.752 0.750
Se 0.500 0.248 0.250
Se 0.000 0.749 0.245
Bi 0.000 0.000 0.000
Ag 0.500 0.500 0.000

Record 25
Density functional theory data (PBE-GGA) for an optimized crystal structure of CaAgBiSe3.

uncorrected formation energy	-0.795	eV per atom

Lattice parameters (Å, degrees): 4.153 8.488 9.193 101.65 90.00 90.00
Fractional coordinates of all 12 atoms:
Ag 0.250 0.089 0.586
Ag 0.750 0.911 0.414
Se 0.750 0.254 0.494
Se 0.750 0.417 0.157
Se 0.250 0.092 0.883
Se 0.250 0.746 0.506
Se 0.750 0.908 0.117
Se 0.250 0.583 0.843
Bi 0.250 0.672 0.165
Bi 0.750 0.328 0.835
Ca 0.250 0.182 0.244
Ca 0.750 0.818 0.756

Record 26
Density functional theory data (PBE-GGA) for an optimized crystal structure of CaSmAgBi.

Lattice parameters (Å, degrees): 5.409 5.409 5.409 60.00 60.00 60.00
Fractional coordinates of all 4 atoms:
Bi 0.750 0.750 0.750
Sm 0.500 0.500 0.500
Ag 0.250 0.250 0.250
Ca 0.000 0.000 0.000

Record 27
Density functional theory data (PBE-GGA) for an optimized crystal structure of CaAgSnBi.

Lattice parameters (Å, degrees): 5.388 5.388 5.388 60.00 60.00 60.00
Fractional coordinates of all 4 atoms:
Bi 0.000 0.000 0.000
Sn 0.250 0.250 0.250
Ca 0.750 0.750 0.750
Ag 0.500 0.500 0.500

Record 28
Density functional theory data (PBE-GGA) for an optimized crystal structure of SrCaAg2Bi.

Lattice parameters (Å, degrees): 5.484 5.900 5.484 90.00 90.00 90.00
Fractional coordinates of all 5 atoms:
Bi 0.000 0.500 0.000
Ca 0.000 0.000 0.000
Ag 0.000 0.000 0.500
Ag 0.500 0.000 0.000
Sr 0.500 0.500 0.500

Number 1: total energy -17.56 eV for the cell shown. Number 2: total energy -12.64 eV for the cell shown. Number 3: total energy -24.83 eV for the cell shown. Number 4: total energy -16.58 eV for the cell shown. Number 5: total energy -10.45 eV for the cell shown. Number 6: total energy -15.11 eV for the cell shown. Number 7: total energy -12.40 eV for the cell shown. Number 8: total energy -11.02 eV for the cell shown. Number 9: total energy -12.12 eV for the cell shown. Number 10: total energy -22.30 eV for the cell shown. Number 11: total energy -12.39 eV for the cell shown. Number 12: total energy -14.88 eV for the cell shown. Number 13: total energy -11.59 eV for the cell shown. Number 14: total energy -44.93 eV for the cell shown. Number 15: total energy -19.02 eV for the cell shown. Number 16: total energy -15.48 eV for the cell shown. Number 17: total energy -24.40 eV for the cell shown. Number 18: total energy -18.38 eV for the cell shown. Number 19: total energy -21.06 eV for the cell shown. Number 20: total energy -51.79 eV for the cell shown. Number 21: total energy -67.32 eV for the cell shown. Number 22: total energy -13.95 eV for the cell shown. Number 23: total energy -15.17 eV for the cell shown. Number 24: total energy -33.26 eV for the cell shown. Number 25: total energy -47.92 eV for the cell shown. Number 26: total energy -15.42 eV for the cell shown. Number 27: total energy -13.59 eV for the cell shown. Number 28: total energy -12.90 eV for the cell shown.